Entry from the Alexandria database: a PBEsol-optimized structure of MgTi2AlTe (meta-GGA SCAN).

## Properties
raw formation energy: 456 meV/atom
crystal system: tetragonal
total magnetization: 3.11 μB per formula unit

a = 4.844 Å, b = 4.859 Å, c = 4.859 Å
α = 90.00°, β = 90.00°, γ = 90.00°
Fractional positions:
Ti  0.000  0.000  0.500
Mg  0.500  0.000  0.000
Ti  0.000  0.500  0.000
Te  0.500  0.500  0.500
Al  0.000  0.000  0.000